(1)
A relaxed structure of Ta2AgPt. Source: Alexandria via LeMat-Bulk, functional PBE.

Energy of formation   0.011 eV per atom
E_tot   -8.1388 eV/atom
Magnetic moment   0.00 μB per atom

Unit cell a=5.0415 b=2.8536 c=5.0963 alpha=90.00 beta=109.81 gamma=90.00
With the nearest neighbours (Å) after each atom.
Fractional positions:
1 Ta 0.0000 0.0000 0.0000  6 Ta 2.85-2.90, 2 Pt 2.91, 4 Ag 2.92
2 Ta 0.5000 0.5000 0.0000  6 Ta 2.85-2.90, 2 Ag 2.91, 4 Pt 2.92
3 Ag 0.0000 0.5000 0.5000  2 Ag 2.85, 4 Pt 2.90, 6 Ta 2.91-2.92
4 Pt 0.5000 0.0000 0.5000  2 Pt 2.85, 4 Ag 2.90, 6 Ta 2.91-2.92


(2)
A relaxed structure of TbGa4Rh. Source: Alexandria via LeMat-Bulk, functional PBE.

Energy of formation   -0.326 eV per atom
E_tot   -4.3411 eV/atom
Magnetic moment   0.00 μB per atom

Unit cell a=5.5786 b=5.5786 c=5.5786 alpha=135.11 beta=109.95 gamma=87.15
With the nearest neighbours (Å) after each atom.
Fractional positions:
1 Tb 0.0000 0.0000 0.0000  12 Ga 3.05-3.12, 2 Rh 3.20
2 Ga 0.1354 0.3407 0.7947  4 Ga 2.57-2.65, 2 Rh 2.81
3 Ga 0.4539 0.6593 0.7947  4 Ga 2.57-2.65, 2 Rh 2.81
4 Ga 0.5461 0.3407 0.2053  4 Ga 2.57-2.65, 2 Rh 2.81
5 Ga 0.8646 0.6593 0.2053  4 Ga 2.57-2.65, 2 Rh 2.81
6 Rh 0.5000 0.0000 0.5000  8 Ga 2.81


(3)
A relaxed structure of Ac2Cd6Hg3. Source: Alexandria via LeMat-Bulk, functional PBE.

Energy of formation   -0.259 eV per atom
E_tot   -1.5879 eV/atom
Magnetic moment   0.00 μB per atom

Unit cell a=8.6192 b=8.6192 c=4.6647 alpha=90.00 beta=90.00 gamma=120.00
With the nearest neighbours (Å) after each atom.
Fractional positions:
1 Ac 0.3333 0.6667 0.0000  6 Hg 3.52, 9 Cd 3.61-3.94
2 Ac 0.6667 0.3333 0.0000  6 Hg 3.52, 9 Cd 3.61-3.94
3 Cd 0.0000 0.2715 0.5000  3 Hg 2.84-3.04, 4 Cd 3.13
4 Cd 0.0000 0.8038 0.0000  2 Hg 2.92, 6 Cd 2.93-3.13
5 Cd 0.1962 0.1962 0.0000  2 Hg 2.92, 6 Cd 2.93-3.13
6 Cd 0.2715 0.0000 0.5000  3 Hg 2.84-3.04, 4 Cd 3.13
7 Cd 0.7285 0.7285 0.5000  3 Hg 2.84-3.04, 4 Cd 3.13
8 Cd 0.8038 0.0000 0.0000  2 Hg 2.92, 6 Cd 2.93-3.13
9 Hg 0.0000 0.6009 0.5000  5 Cd 2.84-3.04
10 Hg 0.3991 0.3991 0.5000  5 Cd 2.84-3.04
11 Hg 0.6009 0.0000 0.5000  5 Cd 2.84-3.04


(4)
A relaxed structure of Rb2TlAs. Source: Alexandria via LeMat-Bulk, functional PBE.

Energy of formation   -0.173 eV per atom
E_tot   -2.4112 eV/atom
Magnetic moment   0.00 μB per atom

Unit cell a=5.7708 b=6.0500 c=6.0611 alpha=60.10 beta=89.84 gamma=89.93
With the nearest neighbours (Å) after each atom.
Fractional positions:
1 Rb 0.1778 0.1672 0.1666  3 As 3.64-3.65, 3 Tl 3.96, 3 Rb 4.05-4.06
2 Rb 0.8222 0.8328 0.8334  3 As 3.64-3.65, 3 Tl 3.96, 3 Rb 4.05-4.06
3 Tl 0.5000 0.5000 0.5000  2 As 2.89
4 As 0.0000 0.5000 0.5000  2 Tl 2.89


(5)
A relaxed structure of PrSmTm2S4. Source: Alexandria via LeMat-Bulk, functional PBE.

Raw formation energy   -1.98 eV/atom
E_tot   -6.3528 eV/atom
Magnetic moment   0.00 μB per atom

Unit cell a=6.7636 b=3.8812 c=7.0157 alpha=90.00 beta=108.57 gamma=90.00
With the nearest neighbours (Å) after each atom.
Fractional positions:
1 Pr 0.0000 0.0000 0.0000  6 S 2.89-2.90
2 Sm 0.5000 0.5000 0.0000  6 S 2.87
3 Tm 0.0000 0.5000 0.5000  6 S 2.73
4 Tm 0.5000 0.0000 0.5000  6 S 2.70
5 S 0.2463 0.0000 0.7300  3 Tm 2.70-2.73, 2 Sm 2.87, 1 Pr 2.89
6 S 0.2611 0.5000 0.2726  3 Tm 2.70-2.73, 1 Sm 2.87, 2 Pr 2.90
7 S 0.7389 0.5000 0.7274  3 Tm 2.70-2.73, 1 Sm 2.87, 2 Pr 2.90
8 S 0.7537 0.0000 0.2700  3 Tm 2.70-2.73, 2 Sm 2.87, 1 Pr 2.89